No. 1
A relaxed ZnGaTcAg2 crystal. Source: Alexandria via LeMat-Bulk, functional PBE.

Formation enthalpy at 0 K in meV per atom: 1114
Total magnetic moment in μB per cell: 1.989
DOS at the Fermi energy in states/eV/atom: 0.96

a b c (Å): 5.1617 4.8145 5.1617
angles (deg): 90.00 90.00 90.00
Fractional positions:
Zn1 0.5000 0.5000 0.5000
Ga1 0.0000 0.5000 0.0000
Tc1 0.0000 0.0000 0.0000
Ag1 0.0000 0.0000 0.5000
Ag2 0.5000 0.0000 0.0000

***

No. 2
A relaxed GaAg3Te crystal. Source: Alexandria via LeMat-Bulk, functional PBE.

Offset from the most stable computed form in eV/atom: 0.080
Uncorrected formation energy in meV/atom: 516
Total magnetic moment in μB per cell: 0.000
DOS at the Fermi energy in states/eV/atom: 0.42

a b c (Å): 5.3634 5.3634 5.3634
angles (deg): 90.00 90.00 90.00
Fractional positions:
Te1 0.0000 0.0000 0.0000
Ga1 0.5000 0.5000 0.5000
Ag1 0.0000 0.5000 0.0000
Ag2 0.0000 0.0000 0.5000
Ag3 0.5000 0.0000 0.0000

***

No. 3
A relaxed GaAgTe2 crystal. Source: Alexandria via LeMat-Bulk, functional PBE.

Uncorrected formation energy in meV/atom: -285
Total magnetic moment in μB per cell: 0.000
DOS at the Fermi energy in states/eV/atom: 0.00

a b c (Å): 6.4021 6.4021 7.6456
angles (deg): 65.25 65.25 90.00
Fractional positions:
Te1 0.6083 0.1250 0.2500
Te2 0.1417 0.6250 0.2500
Te3 0.3750 0.3917 0.7500
Te4 0.8750 0.8583 0.7500
Ga1 0.5000 0.5000 0.0000
Ga2 0.2500 0.7500 0.5000
Ag1 0.0000 0.0000 0.0000
Ag2 0.7500 0.2500 0.5000

***

No. 4
A relaxed GaAg3Te4 crystal. Source: Alexandria via LeMat-Bulk, functional PBE.

Offset from the most stable computed form in eV/atom: 0.000
Uncorrected formation energy in meV/atom: -118
Total magnetic moment in μB per cell: 0.000
DOS at the Fermi energy in states/eV/atom: 0.68

a b c (Å): 6.2922 6.2922 7.7808
angles (deg): 113.85 113.85 90.00
Fractional positions:
Te1 0.3643 0.3643 0.2429
Te2 0.8786 0.8786 0.2429
Te3 0.1214 0.6357 0.7571
Te4 0.6357 0.1214 0.7571
Ag1 0.5000 0.5000 0.0000
Ag2 0.7500 0.2500 0.5000
Ag3 0.2500 0.7500 0.5000
Ga1 0.0000 0.0000 0.0000

***

No. 5
A relaxed GaAg3Te4 crystal. Source: Alexandria via LeMat-Bulk, functional PBE.

Offset from the most stable computed form in eV/atom: 0.012
Uncorrected formation energy in meV/atom: -106
Total magnetic moment in μB per cell: 0.000
DOS at the Fermi energy in states/eV/atom: 0.78

a b c (Å): 7.5342 7.6399 8.7754
angles (deg): 90.00 90.00 90.00
Fractional positions:
Ga1 0.0034 0.1670 0.0000
Ga2 0.5034 0.8330 0.5000
Ag1 0.4947 0.8423 0.0000
Ag2 0.9936 0.6676 0.2514
Ag3 0.4936 0.3324 0.2486
Ag4 0.9947 0.1577 0.5000
Ag5 0.4936 0.3324 0.7514
Ag6 0.9936 0.6676 0.7486
Te1 0.1286 0.8406 0.0000
Te2 0.6479 0.1700 0.0000
Te3 0.1268 0.3289 0.2458
Te4 0.6268 0.6711 0.2542
Te5 0.1479 0.8300 0.5000
Te6 0.6286 0.1594 0.5000
Te7 0.6268 0.6711 0.7458
Te8 0.1268 0.3289 0.7542

***

No. 6
A relaxed Ga4AgTe7 crystal. Source: Alexandria via LeMat-Bulk, functional PBE.

Uncorrected formation energy in meV/atom: -230
Total magnetic moment in μB per cell: 0.000
DOS at the Fermi energy in states/eV/atom: 0.30

a b c (Å): 7.1170 7.5465 16.0782
angles (deg): 90.00 90.00 90.00
Fractional positions:
Ga1 0.5719 0.6716 0.8716
Ga2 0.0570 0.8328 0.2403
Ga3 0.5570 0.1672 0.2597
Ga4 0.0719 0.3284 0.6284
Ga5 0.0719 0.3284 0.3716
Ga6 0.5719 0.6716 0.1284
Ga7 0.0570 0.8328 0.7597
Ga8 0.5570 0.1672 0.7403
Ag1 0.9650 0.8375 0.5000
Ag2 0.4650 0.1625 0.0000
Te1 0.9378 0.6580 0.1066
Te2 0.4377 0.3420 0.3934
Te3 0.3990 0.3557 0.8600
Te4 0.8990 0.6443 0.6400
Te5 0.8990 0.6443 0.3599
Te6 0.3990 0.3557 0.1401
Te7 0.4347 0.8305 0.7335
Te8 0.9347 0.1695 0.7665
Te9 0.9347 0.1695 0.2335
Te10 0.4347 0.8305 0.2665
Te11 0.3892 0.8092 0.0000
Te12 0.8892 0.1908 0.5000
Te13 0.9377 0.6580 0.8934
Te14 0.4377 0.3420 0.6066